1.
A relaxed structure of Li4Cd3Cu. Source: Alexandria, functional PBE. Values from VASP.

## Properties
The density of states at the Fermi level is 2.82 states/eV per cell. The calculation puts the total magnetization at 0.00 μB/cell. The calculation puts the formation enthalpy at 0 K at -0.12 eV/atom. Its crystal system is orthorhombic.

```
&SYSTEM
  ibrav = 0, nat = 8, ntyp = 3
/
ATOMIC_SPECIES
Li 6.94 Li.upf
Cd 112.41 Cd.upf
Cu 63.55 Cu.upf
CELL_PARAMETERS angstrom
2.9700 0.0000 0.0003
0.0001 4.4330 -1.0126
0.0004 0.1399 10.8224
ATOMIC_POSITIONS angstrom
Li 1.4865 1.3254 5.8027
Li 1.4848 2.6704 1.4808
Li 1.4840 3.2475 4.0075
Li 1.4856 1.9026 8.3294
Cd 0.0007 3.8363 6.5848
Cd 1.4850 0.0000 0.0002
Cd 2.9697 0.7367 3.2254
Cu 0.0000 2.2165 -0.5063
```



2.
A relaxed structure of NaPt2. Source: Alexandria, functional PBE. Values from VASP.

## Properties
The density of states at the Fermi level is 7.86 states/eV per cell. For the distance to the lowest polymorph of the same formula, the calculation gives 704 meV per atom. The calculation puts the total magnetization at 0.00 μB/cell. The calculation puts the formation enthalpy at 0 K at 0.32 eV/atom. Its crystal system is tetragonal.

```
&SYSTEM
  ibrav = 0, nat = 6, ntyp = 2
/
ATOMIC_SPECIES
Pt 195.08 Pt.upf
Na 22.99 Na.upf
CELL_PARAMETERS angstrom
-3.4040 3.4040 2.1122
3.4040 -3.4040 2.1122
3.4040 3.4040 -2.1122
ATOMIC_POSITIONS angstrom
Pt 2.4404 0.9636 0.0000
Pt 0.9636 2.4404 2.1122
Pt 0.9636 4.3676 0.0000
Pt 2.4404 -0.9636 2.1122
Na 0.0000 0.0000 3.1682
Na 0.0000 0.0000 1.0561
```



Which formula does entry 2 have? NaPt2